The following is a PBE-GGA calculation of a relaxed CeAl3CuAu crystal, from Alexandria.

Structure (CIF):
```
data_CeAl3CuAu
_symmetry_space_group_name_H-M 'P 1'
_symmetry_Int_Tables_number 1
_cell_length_a 5.972
_cell_length_b 6.222
_cell_length_c 6.964
_cell_angle_alpha 116.53
_cell_angle_beta 90.00
_cell_angle_gamma 90.00
loop_
_symmetry_equiv_pos_as_xyz
'x,y,z'
loop_
_atom_site_label
_atom_site_type_symbol
_atom_site_fract_x
_atom_site_fract_y
_atom_site_fract_z
Cu1 Cu 0.250 0.934 0.868
Au1 Au 0.250 0.347 0.695
Au2 Au 0.750 0.653 0.305
Al1 Al 0.000 0.287 0.000
Ce1 Ce 0.750 0.283 0.566
Al2 Al 0.750 0.863 0.726
Al3 Al 0.000 0.713 0.000
Al4 Al 0.250 0.137 0.274
Cu2 Cu 0.750 0.066 0.132
Al5 Al 0.500 0.287 0.000
Ce2 Ce 0.250 0.717 0.434
Al6 Al 0.500 0.713 0.000
```

## Properties
VASP energy = -4.343 eV per atom
Crystal system = orthorhombic

The following is a PBE-GGA calculation of a relaxed Cu2ReRu crystal, from Alexandria.

Structure (CIF):
```
data_Cu2ReRu
_symmetry_space_group_name_H-M 'P 1'
_symmetry_Int_Tables_number 1
_cell_length_a 8.869
_cell_length_b 8.869
_cell_length_c 8.869
_cell_angle_alpha 17.36
_cell_angle_beta 17.36
_cell_angle_gamma 17.36
loop_
_symmetry_equiv_pos_as_xyz
'x,y,z'
loop_
_atom_site_label
_atom_site_type_symbol
_atom_site_fract_x
_atom_site_fract_y
_atom_site_fract_z
Cu1 Cu 0.000 0.000 0.000
Re1 Re 0.250 0.250 0.250
Cu2 Cu 0.500 0.500 0.500
Ru1 Ru 0.750 0.750 0.750
```

## Properties
VASP energy = -7.153 eV per atom
Crystal system = trigonal

The following is a PBE-GGA calculation of a relaxed DyEr4Sb5 crystal, from Alexandria.

Structure (CIF):
```
data_DyEr4Sb5
_symmetry_space_group_name_H-M 'P 1'
_symmetry_Int_Tables_number 1
_cell_length_a 4.358
_cell_length_b 6.160
_cell_length_c 11.527
_cell_angle_alpha 105.50
_cell_angle_beta 100.90
_cell_angle_gamma 90.00
loop_
_symmetry_equiv_pos_as_xyz
'x,y,z'
loop_
_atom_site_label
_atom_site_type_symbol
_atom_site_fract_x
_atom_site_fract_y
_atom_site_fract_z
Sb1 Sb 0.800 0.300 0.600
Dy1 Dy 0.000 0.000 0.000
Er1 Er 0.400 0.400 0.800
Sb2 Sb 0.200 0.700 0.400
Er2 Er 0.200 0.200 0.401
Sb3 Sb 0.601 0.101 0.202
Er3 Er 0.600 0.600 0.200
Er4 Er 0.800 0.800 0.599
Sb4 Sb 0.000 0.500 0.000
Sb5 Sb 0.399 0.899 0.798
```

## Properties
ΔE_f (raw) = -1.102 eV/atom
Crystal system = orthorhombic

The following is a PBE-GGA calculation of a relaxed CoPRu2 crystal, from Alexandria.

Structure (CIF):
```
data_CoPRu2
_symmetry_space_group_name_H-M 'P 1'
_symmetry_Int_Tables_number 1
_cell_length_a 2.861
_cell_length_b 2.861
_cell_length_c 6.185
_cell_angle_alpha 90.00
_cell_angle_beta 90.00
_cell_angle_gamma 90.00
loop_
_symmetry_equiv_pos_as_xyz
'x,y,z'
loop_
_atom_site_label
_atom_site_type_symbol
_atom_site_fract_x
_atom_site_fract_y
_atom_site_fract_z
P1 P 0.500 0.500 0.750
Ru1 Ru 0.000 0.000 0.525
Co1 Co 0.500 0.500 0.250
Ru2 Ru 0.000 0.000 0.975
```

## Properties
VASP energy = -7.859 eV per atom
Crystal system = tetragonal